1.
Here is Mg4ZnRe after structural relaxation from Alexandria. Energies are from GGA-PBE.

For the total magnetization, the calculation gives 0.0 μB/f.u. The total DFT energy (no corrections) is -2.693 eV per atom. As for the energy of formation: 3.943 eV/f.u.

Cell and atoms, written as extended XYZ:
```
6
Lattice="-3.543 -4.039 -0.362 -3.608 -0.776 3.921 -5.206 1.056 -0.884" Properties=species:S:1:pos:R:3 pbc="T T T"
Mg -6.403 -3.417 0.826
Mg -7.228 -0.890 0.567
Mg -6.436 -1.798 2.951
Mg -4.646 -1.413 1.006
Zn 0.000 0.000 0.000
Re -9.268 -2.819 2.007
```

2.
Here is AgGeIO2 after structural relaxation from Alexandria. Energies are from GGA-PBE.

For the total magnetization, the calculation gives 0.0 μB/f.u. The total DFT energy (no corrections) is -4.156 eV per atom. The energy above the lowest structure with this stoichiometry comes out at 0.0 kJ/mol of atoms.

Cell and atoms, written as extended XYZ:
```
5
Lattice="-1.837 -2.932 1.685 -1.600 -0.936 -3.373 5.068 -3.930 -1.313" Properties=species:S:1:pos:R:3 pbc="T T T"
I 2.534 -1.965 -0.657
Ge 0.000 0.000 0.000
O -0.800 -0.468 -1.687
O -0.919 -1.466 0.843
Ag 0.815 -3.899 -1.500
```

3.
Here is Ba4SrGa4 after structural relaxation from Alexandria. Energies are from GGA-PBE.

For the total magnetization, the calculation gives 0.0 μB/f.u. The total DFT energy (no corrections) is -2.615 eV per atom. As for the energy of formation: -2.051 eV/f.u.

Cell and atoms, written as extended XYZ:
```
18
Lattice="6.841 0.000 0.000 0.000 10.353 0.000 0.000 0.000 10.353" Properties=species:S:1:pos:R:3 pbc="T T T"
Ba 2.425 3.283 9.463
Ba 5.846 6.066 8.459
Ba 2.425 7.071 0.890
Ba 0.996 1.894 6.066
Ba 4.416 9.463 7.071
Ba 0.996 8.459 4.287
Ba 5.846 4.287 1.894
Ba 4.416 0.890 3.283
Sr 0.000 0.000 0.000
Sr 3.421 5.177 5.177
Ga 4.479 7.869 3.648
Ga 4.479 2.484 6.705
Ga 1.058 8.824 7.661
Ga 5.783 2.693 8.824
Ga 5.783 7.661 1.529
Ga 2.362 3.648 2.484
Ga 2.362 6.705 7.869
Ga 1.058 1.529 2.693
```

4.
Here is Na2ZnCrMo after structural relaxation from Alexandria. Energies are from GGA-PBE.

For the total magnetization, the calculation gives 0.0 μB/f.u. The total DFT energy (no corrections) is -3.445 eV per atom. As for the energy of formation: 7.144 eV/f.u.

Cell and atoms, written as extended XYZ:
```
5
Lattice="-4.035 3.135 -2.751 -3.010 -2.385 1.697 -0.296 3.603 4.539" Properties=species:S:1:pos:R:3 pbc="T T T"
Cr -1.505 -1.192 0.848
Mo 0.000 0.000 0.000
Zn -3.670 2.177 1.742
Na -0.148 1.802 2.269
Na -2.017 1.567 -1.376
```

5.
Here is TaPdBr after structural relaxation from Alexandria. Energies are from GGA-PBE.

For the total magnetization, the calculation gives 0.0 μB/f.u. The total DFT energy (no corrections) is -6.245 eV per atom.

Cell and atoms, written as extended XYZ:
```
6
Lattice="-1.844 -0.003 2.577 0.994 -2.742 -1.241 10.716 0.413 7.668" Properties=species:S:1:pos:R:3 pbc="T T T"
Pd 0.048 -1.843 0.032
Pd 5.406 -1.619 3.866
Ta 2.741 -0.773 3.909
Ta 6.179 -0.640 6.369
Br 8.677 -1.494 6.206
Br 2.135 -1.746 1.525
```

6.
Here is SrNiSbH2 after structural relaxation from Alexandria. Energies are from GGA-PBE.

For the total magnetization, the calculation gives 0.0 μB/f.u. The total DFT energy (no corrections) is -4.069 eV per atom.

Cell and atoms, written as extended XYZ:
```
10
Lattice="-1.862 -2.603 2.527 0.570 -2.588 -5.536 5.747 -2.433 1.728" Properties=species:S:1:pos:R:3 pbc="T T T"
Sr 3.230 -4.731 0.797
Sr 1.225 -2.893 -2.077
Ni 0.000 0.000 0.000
Ni 2.874 -1.216 0.864
Sb 3.997 -5.198 -2.410
Sb 0.458 -2.425 1.129
H 5.407 -3.385 0.497
H -0.952 -4.239 -1.778
H 3.018 -2.374 -0.222
H 1.437 -5.250 -1.059
```